No. 1
First-principles (PBE) data for crystalline Tb2ScBe at its relaxed geometry, as listed in the Alexandria database.

Lattice parameters (Å, degrees): 3.4405 3.4405 8.1823 90.00 90.00 90.00
Element x y z (fractional)
Tb 0.0000 0.0000 0.2036
Tb 0.0000 0.0000 0.7964
Sc 0.5000 0.5000 0.5000
Be 0.5000 0.5000 0.0000

Results
uncorrected energy	-18.968	eV/cell
SG	No. 123
formation energy	0.35	eV/f.u.
energy above the most stable polymorph in this dataset	0.00	eV per formula unit
V	96.9	Å³/cell

=====

No. 2
First-principles (PBE) data for crystalline Te2OsPtN at its relaxed geometry, as listed in the Alexandria database.

Lattice parameters (Å, degrees): 5.3422 5.3422 3.6309 90.00 90.00 90.00
Element x y z (fractional)
Te 0.0000 0.5000 0.0000
Te 0.5000 0.0000 0.0000
Os 0.0000 0.0000 0.0000
Pt 0.5000 0.5000 0.5000
N 0.0000 0.0000 0.5000

Results
uncorrected energy	-29.280	eV/cell
SG	No. 123
energy above the most stable polymorph in this dataset	0.00	eV per formula unit
raw formation energy	251	kJ/mol of formula units
V	103.6	Å³/cell

=====

No. 3
First-principles (PBE) data for crystalline Tm3Th2In3 at its relaxed geometry, as listed in the Alexandria database.

Lattice parameters (Å, degrees): 10.5987 10.5987 10.5987 155.12 153.58 36.61
Element x y z (fractional)
Tm 0.0000 0.0000 0.0000
Tm 0.3826 0.8826 0.5000
Tm 0.6174 0.1174 0.5000
Th 0.2438 0.2438 0.0000
Th 0.7562 0.7562 0.0000
In 0.1206 0.6206 0.5000
In 0.5000 0.5000 0.0000
In 0.8794 0.3794 0.5000

Results
uncorrected energy	-38.667	eV/cell
SG	No. 71
formation energy	-2.20	eV/f.u.
V	222.6	Å³/cell

=====

No. 4
First-principles (PBE) data for crystalline Li2TcNi at its relaxed geometry, as listed in the Alexandria database.

Lattice parameters (Å, degrees): 2.5285 3.8846 5.4300 90.00 90.00 90.00
Element x y z (fractional)
Li 0.0000 0.0000 0.0000
Li 0.5000 0.5000 0.2269
Tc 0.5000 0.5000 0.6964
Ni 0.0000 0.0000 0.5217

Results
uncorrected energy	-19.528	eV/cell
SG	No. 25
formation energy	0.45	eV/f.u.
energy above the most stable polymorph in this dataset	0.11	eV per formula unit
V	53.3	Å³/cell

=====

No. 5
First-principles (PBE) data for crystalline Pm3ThF at its relaxed geometry, as listed in the Alexandria database.

Lattice parameters (Å, degrees): 5.1522 5.1522 5.1522 90.00 90.00 90.00
Element x y z (fractional)
Pm 0.0000 0.0000 0.5000
Pm 0.0000 0.5000 0.0000
Pm 0.5000 0.0000 0.0000
Th 0.5000 0.5000 0.5000
F 0.0000 0.0000 0.0000

Results
uncorrected energy	-28.163	eV/cell
SG	No. 221
raw formation energy	-446	kJ/mol of formula units
V	136.8	Å³/cell

=====

No. 6
First-principles (PBE) data for crystalline Y2PbBr at its relaxed geometry, as listed in the Alexandria database.

Lattice parameters (Å, degrees): 10.0130 10.0130 10.0130 20.76 20.76 20.76
Element x y z (fractional)
Y 0.2443 0.2443 0.2443
Y 0.7557 0.7557 0.7557
Pb 0.0000 0.0000 0.0000
Br 0.5000 0.5000 0.5000

Results
uncorrected energy	-20.869	eV/cell
SG	No. 166
energy above the most stable polymorph in this dataset	0.52	eV per formula unit
raw formation energy	-247	kJ/mol of formula units
V	110.4	Å³/cell

=====

No. 7
First-principles (PBE) data for crystalline Mn2Pd5Pt2 at its relaxed geometry, as listed in the Alexandria database.

Lattice parameters (Å, degrees): 4.8046 4.8716 6.1618 83.43 75.37 79.69
Element x y z (fractional)
Mn 0.1238 0.2193 0.0588
Mn 0.8762 0.7807 0.9412
Pd 0.0000 0.0000 0.5000
Pd 0.2235 0.4488 0.6160
Pd 0.4379 0.8957 0.7282
Pd 0.5621 0.1043 0.2718
Pd 0.7765 0.5512 0.3840
Pt 0.3179 0.6669 0.1611
Pt 0.6821 0.3331 0.8389

Results
uncorrected energy	-58.191	eV/cell
SG	No. 2
formation energy	-1.81	eV/f.u.
V	136.9	Å³/cell

=====

No. 8
First-principles (PBE) data for crystalline Ac4CoPb at its relaxed geometry, as listed in the Alexandria database.

Lattice parameters (Å, degrees): 6.4749 11.9146 6.4916 90.00 105.61 90.00
Element x y z (fractional)
Ac 0.1270 0.2500 0.2311
Ac 0.2592 0.0310 0.7544
Ac 0.2592 0.4690 0.7544
Ac 0.2659 0.7500 0.3762
Ac 0.7341 0.2500 0.6238
Ac 0.7408 0.5310 0.2456
Ac 0.7408 0.9690 0.2456
Ac 0.8730 0.7500 0.7689
Co 0.2138 0.2500 0.7103
Co 0.7862 0.7500 0.2897
Pb 0.4289 0.7500 0.9325
Pb 0.5711 0.2500 0.0675

Results
uncorrected energy	-55.039	eV/cell
SG	No. 11
formation energy	-0.27	eV/f.u.
energy above the most stable polymorph in this dataset	0.81	eV per formula unit
V	482.3	Å³/cell